{
  "formula": "Na4SeBr2",
  "functional": "PBE",
  "state": "relaxed",
  "lattice": [[-2.718, 2.718, 7.782], [2.718, -2.718, 7.782], [2.718, 2.718, -7.782]],
  "species": ["Na", "Na", "Na", "Na", "Se", "Br", "Br"],
  "fractional_positions": [[0.000, 0.500, 0.500], [0.177, 0.177, 0.000], [0.500, 0.000, 0.500], [0.823, 0.823, 0.000], [0.000, 0.000, 0.000], [0.355, 0.355, 0.000], [0.645, 0.645, 0.000]],
  "dos_ef_per_ev_cell": 0.000,
  "raw_formation_energy_mev_per_atom": -1216,
  "total_magnetization_mub_per_atom": 0.00,
  "space_group": "I4/mmm"
}